1.
The following is a PBE-GGA calculation of crystalline CdCuIr2 at its relaxed geometry, from Alexandria.

## Properties
* space group: Cm
* energy: -5.50 eV per atom
* calculated formation energy: 0.187 eV per atom

a b c (Å): 4.7223 4.7223 4.9295
angles (deg): 80.46 80.46 34.78
With the nearest neighbours (Å) after each atom.
Element x y z (fractional)
Cd: 0.5005 0.5005 0.4759  3 Cu 2.63-2.76, 2 Cd 2.82, 7 Ir 2.84-2.93
Ir: 0.0010 0.0010 0.9760  5 Ir 2.62-2.82, 3 Cu 2.77-2.87, 4 Cd 2.84
Cu: 0.2559 0.2559 0.2529  3 Cd 2.63-2.76, 5 Ir 2.68-2.87, 2 Cu 2.82
Ir: 0.7426 0.7426 0.7953  5 Ir 2.62-2.82, 2 Cu 2.68, 1 Cd 2.90


2.
The following is a PBE-GGA calculation of crystalline Ac12Bi3H5 at its relaxed geometry, from Alexandria.

## Properties
* space group: Ia-3d
* energy: -4.20 eV per atom

a b c (Å): 15.1438 15.1438 15.1438
angles (deg): 109.47 109.47 109.47
With the nearest neighbours (Å) after each atom.
Element x y z (fractional)
Ac: 0.0950 0.9024 0.1114  1 H 2.47
H: 0.0000 0.0000 0.0000  6 Ac 2.93
H: 0.0000 0.5000 0.0000  6 Ac 2.93
Ac: 0.9836 0.5950 0.1926  1 H 2.47
Ac: 0.5950 0.6114 0.4024  1 H 2.47
Bi: 0.7500 0.3750 0.1250  8 Ac 3.48-3.51
Ac: 0.9836 0.3886 0.2910  1 H 2.47
Ac: 0.2090 0.5164 0.6114  1 H 2.47
Ac: 0.0976 0.1926 0.2090  1 H 2.47
H: 0.8750 0.2500 0.6250  4 Ac 2.47
Ac: 0.1114 0.7090 0.5164  1 H 2.47
Bi: 0.8750 0.1250 0.2500  8 Ac 3.48-3.51
Bi: 0.6250 0.3750 0.7500  8 Ac 3.48-3.51
Ac: 0.4024 0.1114 0.5950  1 H 2.47
H: 0.5000 0.0000 0.5000  6 Ac 2.93
Ac: 0.4050 0.3886 0.5976  1 H 2.47
Ac: 0.6114 0.5950 0.9024  1 H 2.47
Ac: 0.0976 0.9050 0.3886  1 H 2.47
Ac: 0.7910 0.4836 0.3886  1 H 2.47
Ac: 0.5164 0.2090 0.1114  1 H 2.47
Bi: 0.3750 0.6250 0.2500  8 Ac 3.48-3.51
Ac: 0.9050 0.0976 0.8886  1 H 2.47
Bi: 0.3750 0.7500 0.6250  8 Ac 3.48-3.51
H: 0.8750 0.6250 0.7500  4 Ac 2.47
H: 0.2500 0.8750 0.1250  4 Ac 2.47
Ac: 0.2910 0.4024 0.8074  1 H 2.47
Ac: 0.4836 0.7910 0.8886  1 H 2.47
Ac: 0.4024 0.2910 0.3074  1 H 2.47
H: 0.6250 0.8750 0.2500  4 Ac 2.47
H: 0.5000 0.5000 0.5000  6 Ac 2.93
Ac: 0.3074 0.7910 0.4024  1 H 2.47
Ac: 0.2090 0.6926 0.0976  1 H 2.47
H: 0.2500 0.3750 0.6250  4 Ac 2.47
H: 0.1250 0.7500 0.3750  4 Ac 2.47
Bi: 0.7500 0.8750 0.6250  8 Ac 3.48-3.51
Ac: 0.8074 0.9050 0.0164  1 H 2.47
Ac: 0.3074 0.5164 0.4050  1 H 2.47
Ac: 0.8074 0.9024 0.2910  1 H 2.47
Bi: 0.6250 0.2500 0.3750  8 Ac 3.48-3.51
Ac: 0.5164 0.3074 0.9050  1 H 2.47
Ac: 0.5976 0.8886 0.4050  1 H 2.47
Ac: 0.2910 0.8886 0.9836  1 H 2.47
Ac: 0.7090 0.1114 0.0164  1 H 2.47
H: 0.1250 0.3750 0.2500  4 Ac 2.47
Ac: 0.6926 0.2090 0.5976  1 H 2.47
Ac: 0.7910 0.3074 0.9024  1 H 2.47
Ac: 0.5950 0.9836 0.6926  1 H 2.47
Ac: 0.0950 0.1926 0.4836  1 H 2.47
Bi: 0.2500 0.1250 0.3750  8 Ac 3.48-3.51
Ac: 0.9050 0.8074 0.5164  1 H 2.47
Ac: 0.9024 0.8074 0.7910  1 H 2.47
Ac: 0.6926 0.4836 0.5950  1 H 2.47
H: 0.5000 0.0000 0.0000  6 Ac 2.93
H: 0.5000 0.5000 0.0000  6 Ac 2.93
H: 0.7500 0.1250 0.8750  4 Ac 2.47
Ac: 0.0164 0.6114 0.7090  1 H 2.47
Ac: 0.8886 0.5976 0.9050  1 H 2.47
Ac: 0.7090 0.5976 0.1926  1 H 2.47
Ac: 0.5976 0.7090 0.6926  1 H 2.47
H: 0.0000 0.0000 0.5000  6 Ac 2.93
Ac: 0.1926 0.0950 0.9836  1 H 2.47
Bi: 0.1250 0.8750 0.7500  8 Ac 3.48-3.51
H: 0.0000 0.5000 0.5000  6 Ac 2.93
H: 0.3750 0.1250 0.7500  4 Ac 2.47
Ac: 0.8886 0.2910 0.4836  1 H 2.47
H: 0.6250 0.7500 0.8750  4 Ac 2.47
Ac: 0.3886 0.9836 0.7910  1 H 2.47
Ac: 0.0164 0.4050 0.8074  1 H 2.47
Ac: 0.1114 0.4024 0.0950  1 H 2.47
Ac: 0.6114 0.0164 0.2090  1 H 2.47
H: 0.3750 0.2500 0.1250  4 Ac 2.47
Ac: 0.4836 0.6926 0.0950  1 H 2.47
Ac: 0.4050 0.0164 0.3074  1 H 2.47
Ac: 0.1926 0.0976 0.7090  1 H 2.47
Ac: 0.3886 0.4050 0.0976  1 H 2.47
Bi: 0.8750 0.7500 0.1250  8 Ac 3.48-3.51
Bi: 0.2500 0.6250 0.8750  8 Ac 3.48-3.51
Ac: 0.9024 0.0950 0.6114  1 H 2.47
H: 0.7500 0.6250 0.3750  4 Ac 2.47
Bi: 0.1250 0.2500 0.8750  8 Ac 3.48-3.51


3.
The following is a PBE-GGA calculation of crystalline Tb3Y2Al2 at its relaxed geometry, from Alexandria.

## Properties
* space group: R-3m
* energy: -5.11 eV per atom
* calculated formation energy: -0.211 eV per atom
* excess energy over the best structure of this formula in the dataset: 0.000 eV per atom

a b c (Å): 5.2872 5.2862 8.4241
angles (deg): 108.31 89.99 120.01
With the nearest neighbours (Å) after each atom.
Element x y z (fractional)
Al: 0.2177 0.4354 0.1532  4 Tb 3.03-3.28, 4 Y 3.15-3.18
Y: 0.0828 0.1656 0.7481  4 Al 3.15-3.18, 3 Tb 3.46
Y: 0.9172 0.8344 0.2519  4 Al 3.15-3.18, 3 Tb 3.46
Tb: 0.3465 0.6930 0.5394  1 Al 3.03, 3 Tb 3.11
Tb: 0.6535 0.3070 0.4606  1 Al 3.03, 3 Tb 3.11
Al: 0.7823 0.5646 0.8468  4 Tb 3.03-3.28, 4 Y 3.15-3.18
Tb: 0.5000 0.0000 0.0000  6 Al 3.28, 2 Tb 3.62, 6 Y 3.63-3.64


Fermi-level density of states for every record listed, in sequence, given in states/eV/atom: 0.851 0.966 0.641.